1.
A plane-wave DFT calculation with PBE was carried out for Hg3Sb4Pb4 after structural relaxation.

Calculated values
crystal system	monoclinic
E	-2.837	eV/atom
formation energy (no corrections)	0.093	eV per atom

Unit cell a=4.218 b=7.964 c=11.386 alpha=110.46 beta=100.65 gamma=90.07
Atoms (fractional coordinates):
Hg: 0.888 0.888 0.777
Hg: 0.112 0.112 0.223
Hg: 0.000 0.500 0.000
Sb: 0.646 0.466 0.295
Sb: 0.351 0.171 0.705
Sb: 0.354 0.534 0.705
Sb: 0.649 0.829 0.295
Pb: 0.762 0.262 0.523
Pb: 0.238 0.738 0.477
Pb: 0.499 0.792 0.000
Pb: 0.501 0.208 0.000

=====

2.
A plane-wave DFT calculation with PBE was carried out for HgSb3Pb12 after structural relaxation.

Calculated values
crystal system	orthorhombic
E	-3.525	eV/atom
formation energy (no corrections)	0.048	eV per atom

Unit cell a=5.597 b=5.713 c=15.398 alpha=90.00 beta=90.00 gamma=90.00
Atoms (fractional coordinates):
Hg: 0.000 0.000 0.000
Sb: 0.000 0.000 0.237
Sb: 0.000 0.000 0.500
Sb: 0.000 0.000 0.763
Pb: 0.500 0.500 0.000
Pb: 0.500 0.500 0.257
Pb: 0.500 0.500 0.500
Pb: 0.500 0.500 0.743
Pb: 0.500 0.000 0.128
Pb: 0.500 0.000 0.376
Pb: 0.500 0.000 0.624
Pb: 0.500 0.000 0.872
Pb: 0.000 0.500 0.130
Pb: 0.000 0.500 0.376
Pb: 0.000 0.500 0.624
Pb: 0.000 0.500 0.870

=====

3.
A plane-wave DFT calculation with PBE was carried out for HgSb2Pb after structural relaxation.

Calculated values
crystal system	trigonal
E	-2.893	eV/atom
formation energy (no corrections)	0.170	eV per atom

Unit cell a=10.745 b=10.745 c=10.745 alpha=18.78 beta=18.78 gamma=18.78
Atoms (fractional coordinates):
Hg: 0.250 0.250 0.250
Pb: 0.750 0.750 0.750
Sb: 0.996 0.996 0.996
Sb: 0.504 0.504 0.504

=====

4.
A plane-wave DFT calculation with PBE was carried out for Hg12Sb5Pb3 after structural relaxation.

Calculated values
crystal system	cubic
E	-1.614	eV/atom
formation energy (no corrections)	0.154	eV per atom

Unit cell a=15.001 b=15.001 c=15.001 alpha=109.47 beta=109.47 gamma=109.47
Atoms (fractional coordinates):
Pb: 0.750 0.375 0.125
Pb: 0.875 0.750 0.125
Pb: 0.375 0.750 0.625
Pb: 0.250 0.125 0.375
Pb: 0.875 0.125 0.250
Pb: 0.375 0.625 0.250
Pb: 0.625 0.375 0.750
Pb: 0.125 0.875 0.750
Pb: 0.750 0.875 0.625
Pb: 0.625 0.250 0.375
Pb: 0.125 0.250 0.875
Pb: 0.250 0.625 0.875
Sb: 0.125 0.375 0.250
Sb: 0.000 0.500 0.000
Sb: 0.000 0.000 0.000
Sb: 0.375 0.250 0.125
Sb: 0.500 0.000 0.500
Sb: 0.500 0.500 0.000
Sb: 0.125 0.750 0.375
Sb: 0.750 0.125 0.875
Sb: 0.750 0.625 0.375
Sb: 0.375 0.125 0.750
Sb: 0.625 0.875 0.250
Sb: 0.500 0.500 0.500
Sb: 0.500 0.000 0.000
Sb: 0.000 0.000 0.500
Sb: 0.250 0.375 0.625
Sb: 0.250 0.875 0.125
Sb: 0.000 0.500 0.500
Sb: 0.875 0.250 0.625
Sb: 0.625 0.750 0.875
Sb: 0.875 0.625 0.750
Hg: 0.728 0.124 0.054
Hg: 0.326 0.554 0.430
Hg: 0.946 0.376 0.272
Hg: 0.554 0.228 0.124
Hg: 0.605 0.728 0.674
Hg: 0.946 0.570 0.174
Hg: 0.326 0.772 0.395
Hg: 0.070 0.895 0.124
Hg: 0.570 0.946 0.674
Hg: 0.728 0.605 0.174
Hg: 0.772 0.446 0.376
Hg: 0.826 0.930 0.054
Hg: 0.124 0.728 0.554
Hg: 0.376 0.430 0.105
Hg: 0.105 0.930 0.376
Hg: 0.395 0.124 0.570
Hg: 0.105 0.174 0.228
Hg: 0.446 0.674 0.070
Hg: 0.826 0.895 0.272
Hg: 0.124 0.395 0.070
Hg: 0.376 0.946 0.772
Hg: 0.570 0.624 0.395
Hg: 0.930 0.826 0.554
Hg: 0.772 0.326 0.895
Hg: 0.430 0.376 0.605
Hg: 0.070 0.174 0.446
Hg: 0.228 0.674 0.105
Hg: 0.174 0.105 0.728
Hg: 0.624 0.054 0.228
Hg: 0.876 0.605 0.930
Hg: 0.554 0.326 0.930
Hg: 0.605 0.876 0.430
Hg: 0.895 0.826 0.772
Hg: 0.895 0.070 0.624
Hg: 0.876 0.272 0.446
Hg: 0.174 0.070 0.946
Hg: 0.624 0.570 0.895
Hg: 0.430 0.054 0.326
Hg: 0.272 0.395 0.826
Hg: 0.228 0.554 0.624
Hg: 0.930 0.105 0.876
Hg: 0.674 0.228 0.605
Hg: 0.446 0.772 0.876
Hg: 0.054 0.430 0.826
Hg: 0.395 0.272 0.326
Hg: 0.054 0.624 0.728
Hg: 0.674 0.446 0.570
Hg: 0.272 0.876 0.946